This record from the Alexandria database describes a relaxed structure of BeZn2BF. The functional is PBE-GGA.

abc: 4.358 4.358 3.406
angles: 90.00 90.00 90.00
Space group P4/mmm (No. 123)
One atom of each set of equivalent atoms:
Be1 0.000 0.000 0.000
Zn1 0.000 0.500 0.000
B1 0.000 0.000 0.500
F1 0.500 0.500 0.500

Uncorrected formation energy = 0.20 eV/f.u.
Density = 4.4 g/cm³
Total magnetization = 0.00 μB/f.u.